A relaxed Li3LaHo2S6 crystal. Source: Alexandria, functional PBE.

The structure in POSCAR format:
```
Li3LaHo2S6
1.0
6.9092 -0.0073 0.0100
-3.4593 5.9809 0.0100
-1.1419 -1.9772 6.1756
S La Ho Li
6 1 2 3
direct
0.0822 0.4294 0.2507 S
0.9178 0.5706 0.7493 S
0.4294 0.0822 0.2507 S
0.2643 0.2643 0.7471 S
0.7357 0.7357 0.2529 S
0.5706 0.9178 0.7493 S
0.0000 0.0000 0.0000 La
0.6662 0.3338 0.0000 Ho
0.3338 0.6662 0.0000 Ho
0.8251 0.1749 0.5000 Li
0.5000 0.5000 0.5000 Li
0.1749 0.8251 0.5000 Li
```

Values from the calculation:
- Total DFT energy (no corrections): -5.56 eV per atom
- Crystal system: monoclinic

---

A relaxed LiLa3Ho3S8 crystal. Source: Alexandria, functional PBE.

The structure in POSCAR format:
```
LiLa3Ho3S8
1.0
-7.6474 0.6049 1.9782
3.6676 -7.0060 0.4619
1.8215 5.7797 5.2746
S Ho La Li
8 3 3 1
direct
0.2430 0.4861 0.7302 S
0.2432 0.9871 0.7303 S
0.7432 0.4865 0.7297 S
0.7570 0.5139 0.2698 S
0.7568 0.0129 0.2697 S
0.2568 0.5135 0.2703 S
0.2564 0.0129 0.2694 S
0.7436 0.9871 0.7306 S
0.5000 0.0000 0.5000 Ho
0.5000 0.5000 0.5000 Ho
0.0000 0.5000 0.5000 Ho
0.0000 0.5000 0.0000 La
0.5000 0.5000 0.0000 La
0.0000 0.0000 0.0000 La
0.0000 0.0000 0.5000 Li
```

Values from the calculation:
- Total DFT energy (no corrections): -6.26 eV per atom
- Crystal system: trigonal

---

A relaxed LiLaHoS3 crystal. Source: Alexandria, functional PBE.

The structure in POSCAR format:
```
LiLaHoS3
1.0
3.9011 0.0000 0.0000
0.0000 8.1567 0.0840
0.0000 -2.0649 8.2834
S La Li Ho
6 2 2 2
direct
0.7500 0.2138 0.5045 S
0.2500 0.7862 0.4955 S
0.2500 0.5653 0.8296 S
0.7500 0.8982 0.1350 S
0.7500 0.4347 0.1704 S
0.2500 0.1018 0.8650 S
0.7500 0.8118 0.7760 La
0.2500 0.1882 0.2240 La
0.2500 0.0881 0.5854 Li
0.7500 0.9119 0.4146 Li
0.7500 0.3350 0.8377 Ho
0.2500 0.6650 0.1623 Ho
```

Values from the calculation:
- Total DFT energy (no corrections): -5.86 eV per atom
- Crystal system: monoclinic

---

A relaxed LiLaHoSc crystal. Source: Alexandria, functional PBE.

The structure in POSCAR format:
```
LiLaHoSc
1.0
5.4378 0.0000 0.0000
2.7189 4.7093 0.0000
2.7189 1.5698 4.4400
Ho La Li Sc
1 1 1 1
direct
0.7500 0.7500 0.7500 Ho
0.2500 0.2500 0.2500 La
0.0000 0.0000 0.0000 Li
0.5000 0.5000 0.5000 Sc
```

Values from the calculation:
- Total DFT energy (no corrections): -4.29 eV per atom
- Crystal system: cubic

---

A relaxed LiLaHoSe3 crystal. Source: Alexandria, functional PBE.

The structure in POSCAR format:
```
LiLaHoSe3
1.0
-2.6965 1.9412 -2.3304
3.1753 -3.8411 -6.8738
-6.4054 -5.5682 2.7732
La Li Se Ho
2 2 6 2
direct
0.2500 0.1892 0.2273 La
0.7500 0.8108 0.7727 La
0.7500 0.9125 0.4146 Li
0.2500 0.0875 0.5854 Li
0.2500 0.7789 0.4949 Se
0.2500 0.5634 0.8262 Se
0.2500 0.0990 0.8677 Se
0.7500 0.9010 0.1323 Se
0.7500 0.4366 0.1738 Se
0.7500 0.2211 0.5051 Se
0.2500 0.6670 0.1592 Ho
0.7500 0.3330 0.8408 Ho
```

Values from the calculation:
- Total DFT energy (no corrections): -5.38 eV per atom
- Crystal system: monoclinic

---

A relaxed LiLa3Ho2Se6 crystal. Source: Alexandria, functional PBE.

The structure in POSCAR format:
```
LiLa3Ho2Se6
1.0
-1.1028 -6.7856 -2.1713
-0.4498 1.6768 6.9972
-6.1668 3.0359 -2.3628
Se La Li Ho
6 3 1 2
direct
0.5968 0.9246 0.7728 Se
0.0754 0.4032 0.2272 Se
0.2511 0.2511 0.7743 Se
0.7489 0.7489 0.2257 Se
0.4032 0.0754 0.2272 Se
0.9246 0.5968 0.7728 Se
0.5000 0.5000 0.5000 La
0.1665 0.8335 0.5000 La
0.8335 0.1665 0.5000 La
0.0000 0.0000 0.0000 Li
0.6659 0.3341 0.0000 Ho
0.3341 0.6659 0.0000 Ho
```

Values from the calculation:
- Total DFT energy (no corrections): -5.73 eV per atom
- Crystal system: monoclinic

---

A relaxed Li3LaHo2Se6 crystal. Source: Alexandria, functional PBE.

The structure in POSCAR format:
```
Li3LaHo2Se6
1.0
7.1706 -0.0032 0.0031
-3.5864 6.2093 0.0031
-1.1928 -2.0653 6.4992
Li Se Ho La
3 6 2 1
direct
0.8296 0.1704 0.5000 Li
0.5000 0.5000 0.5000 Li
0.1704 0.8296 0.5000 Li
0.2614 0.2614 0.7436 Se
0.7386 0.7386 0.2564 Se
0.9158 0.5694 0.7462 Se
0.5694 0.9158 0.7462 Se
0.4306 0.0842 0.2538 Se
0.0842 0.4306 0.2538 Se
0.3336 0.6664 0.0000 Ho
0.6664 0.3336 0.0000 Ho
0.0000 0.0000 0.0000 La
```

Values from the calculation:
- Total DFT energy (no corrections): -5.10 eV per atom
- Crystal system: monoclinic

---

A relaxed Li2La2HoSi2 crystal. Source: Alexandria, functional PBE.

The structure in POSCAR format:
```
Li2La2HoSi2
1.0
-3.2333 -2.8063 1.1687
-2.0870 -2.3952 -3.0989
4.6703 -8.7173 0.4147
Li La Ho Si
2 2 1 2
direct
0.6146 0.6146 0.1562 Li
0.3854 0.3854 0.8438 Li
0.8763 0.8763 0.3710 La
0.1237 0.1237 0.6290 La
0.0000 0.0000 0.0000 Ho
0.7266 0.7266 0.8203 Si
0.2734 0.2734 0.1797 Si
```

Values from the calculation:
- Total DFT energy (no corrections): -4.56 eV per atom
- Crystal system: trigonal

---

A relaxed LiLaHoSi crystal. Source: Alexandria, functional PBE.

The structure in POSCAR format:
```
LiLaHoSi
1.0
-1.8080 4.6139 -1.2251
-4.9916 0.9806 0.4245
-1.6829 3.1361 3.6594
Si Ho La Li
1 1 1 1
direct
0.0000 0.0000 0.0000 Si
0.2500 0.2500 0.2500 Ho
0.7500 0.7500 0.7500 La
0.5000 0.5000 0.5000 Li
```

Values from the calculation:
- Total DFT energy (no corrections): -4.55 eV per atom
- Crystal system: cubic

---

A relaxed Li2La2HoSn2 crystal. Source: Alexandria, functional PBE.

The structure in POSCAR format:
```
Li2La2HoSn2
1.0
-3.6977 2.2112 2.1133
-4.3478 -2.0306 -0.0344
-0.7398 -4.2315 8.5815
Sn La Li Ho
2 2 2 1
direct
0.7309 0.7309 0.8073 Sn
0.2691 0.2691 0.1927 Sn
0.1311 0.1311 0.6067 La
0.8689 0.8689 0.3933 La
0.3934 0.3934 0.8197 Li
0.6066 0.6066 0.1803 Li
0.0000 0.0000 0.0000 Ho
```

Values from the calculation:
- Total DFT energy (no corrections): -4.23 eV per atom
- Crystal system: trigonal

---

A relaxed Li2LaHoTe4 crystal. Source: Alexandria, functional PBE.

The structure in POSCAR format:
```
Li2LaHoTe4
1.0
4.4430 0.0000 0.0000
0.0000 7.7012 0.1340
0.0000 -2.6795 7.0160
Ho Li La Te
1 2 1 4
direct
0.5000 0.5000 0.0000 Ho
0.5000 0.0000 0.5000 Li
0.0000 0.5000 0.5000 Li
0.0000 0.0000 0.0000 La
0.0000 0.2589 0.7439 Te
0.5000 0.2651 0.2617 Te
0.0000 0.7411 0.2561 Te
0.5000 0.7349 0.7383 Te
```

Values from the calculation:
- Total DFT energy (no corrections): -4.56 eV per atom
- Crystal system: monoclinic

---

A relaxed Li4LaHo3Te8 crystal. Source: Alexandria, functional PBE.

The structure in POSCAR format:
```
Li4LaHo3Te8
1.0
8.7759 0.0000 0.0000
0.0000 8.6968 -0.0675
-4.3880 -4.3856 6.2033
Te La Li Ho
8 1 4 3
direct
0.7510 0.7523 0.5019 Te
0.7417 0.2421 0.4834 Te
0.7419 0.7579 0.0002 Te
0.2581 0.2421 0.9998 Te
0.7416 0.2421 0.9998 Te
0.2583 0.7579 0.5166 Te
0.2490 0.2477 0.4981 Te
0.2584 0.7579 0.0002 Te
0.0000 0.5000 0.0000 La
0.5000 0.0000 0.0000 Li
0.5000 0.0000 0.5000 Li
0.0000 0.0000 0.5000 Li
0.0000 0.0000 0.0000 Li
0.5000 0.5000 0.5000 Ho
0.5000 0.5000 0.0000 Ho
0.0000 0.5000 0.5000 Ho
```

Values from the calculation:
- Total DFT energy (no corrections): -4.52 eV per atom
- Crystal system: trigonal

---

A relaxed LiLaHoTe3 crystal. Source: Alexandria, functional PBE.

The structure in POSCAR format:
```
LiLaHoTe3
1.0
4.3265 0.0000 0.0000
0.0000 9.0104 0.0176
0.0000 -2.3596 9.3065
Li Te Ho La
2 6 2 2
direct
0.2500 0.0863 0.5864 Li
0.7500 0.9137 0.4136 Li
0.7500 0.2321 0.5064 Te
0.2500 0.0952 0.8727 Te
0.2500 0.7679 0.4936 Te
0.7500 0.9048 0.1273 Te
0.7500 0.4367 0.1750 Te
0.2500 0.5633 0.8250 Te
0.2500 0.6694 0.1568 Ho
0.7500 0.3306 0.8432 Ho
0.7500 0.8101 0.7668 La
0.2500 0.1899 0.2332 La
```

Values from the calculation:
- Total DFT energy (no corrections): -4.82 eV per atom
- Crystal system: monoclinic

---

A relaxed LiLa2Ho3Te6 crystal. Source: Alexandria, functional PBE.

The structure in POSCAR format:
```
LiLa2Ho3Te6
1.0
4.3969 0.0000 0.0000
0.0000 8.8878 0.2696
-2.1985 -2.6108 9.3052
Te Ho La Li
6 3 2 1
direct
0.0047 0.7544 0.0095 Te
0.9953 0.2456 0.9905 Te
0.3373 0.9332 0.6746 Te
0.6614 0.5916 0.3228 Te
0.6627 0.0668 0.3254 Te
0.3386 0.4084 0.6772 Te
0.8296 0.1703 0.6591 Ho
0.5000 0.5000 0.0000 Ho
0.1704 0.8297 0.3409 Ho
0.1681 0.3361 0.3362 La
0.8319 0.6639 0.6638 La
0.5000 0.0000 0.0000 Li
```

Values from the calculation:
- Total DFT energy (no corrections): -5.08 eV per atom
- Crystal system: monoclinic

---

A relaxed LiLa2HoTe5 crystal. Source: Alexandria, functional PBE.

The structure in POSCAR format:
```
LiLa2HoTe5
1.0
4.4750 0.0000 0.0000
-2.2375 9.4383 0.0000
0.0000 0.0000 13.2825
Te Ho La Li
10 2 4 2
direct
0.9525 0.9049 0.5681 Te
0.7155 0.4310 0.1669 Te
0.0476 0.0951 0.0681 Te
0.3098 0.6196 0.3489 Te
0.6902 0.3804 0.8489 Te
0.4984 0.9967 0.7803 Te
0.5016 0.0033 0.2803 Te
0.2845 0.5690 0.6669 Te
0.3607 0.7214 0.9992 Te
0.6393 0.2786 0.4992 Te
0.1980 0.3960 0.0098 Ho
0.8020 0.6040 0.5098 Ho
0.1066 0.2133 0.6852 La
0.1255 0.2509 0.3038 La
0.8745 0.7491 0.8038 La
0.8934 0.7867 0.1852 La
0.4411 0.8823 0.4617 Li
0.5589 0.1177 0.9617 Li
```

Values from the calculation:
- Total DFT energy (no corrections): -4.99 eV per atom
- Crystal system: orthorhombic

---

A relaxed LiLaHo2Te4 crystal. Source: Alexandria, functional PBE.

The structure in POSCAR format:
```
LiLaHo2Te4
1.0
-1.5274 2.8888 -2.9064
-6.6664 0.1417 3.6442
4.6058 5.4119 2.9588
Li Te Ho La
1 4 2 1
direct
0.5000 0.5000 0.0000 Li
0.0000 0.2581 0.7465 Te
0.5000 0.7361 0.7410 Te
0.0000 0.7419 0.2535 Te
0.5000 0.2639 0.2590 Te
0.0000 0.5000 0.5000 Ho
0.5000 0.0000 0.5000 Ho
0.0000 0.0000 0.0000 La
```

Values from the calculation:
- Total DFT energy (no corrections): -4.93 eV per atom
- Crystal system: monoclinic

---

A relaxed Li2La2HoTl5 crystal. Source: Alexandria, functional PBE.

The structure in POSCAR format:
```
Li2La2HoTl5
1.0
-1.5947 -2.6651 -3.1236
-0.6649 -8.0722 7.2268
-10.0968 3.0878 2.5201
Tl Ho La Li
10 2 4 4
direct
0.5000 0.2096 0.0699 Tl
0.5000 0.0699 0.7904 Tl
0.5000 0.7096 0.4301 Tl
0.5000 0.9301 0.2096 Tl
0.5000 0.0000 0.5000 Tl
0.5000 0.2904 0.5699 Tl
0.5000 0.4301 0.2904 Tl
0.5000 0.5000 0.0000 Tl
0.5000 0.7904 0.9301 Tl
0.5000 0.5699 0.7096 Tl
0.0000 0.0000 0.0000 Ho
0.0000 0.5000 0.5000 Ho
0.0000 0.1766 0.3234 La
0.0000 0.3234 0.8234 La
0.0000 0.6766 0.1766 La
0.0000 0.8234 0.6766 La
0.0000 0.3819 0.1181 Li
0.0000 0.6181 0.8819 Li
0.0000 0.8819 0.3819 Li
0.0000 0.1181 0.6181 Li
```

Values from the calculation:
- Total DFT energy (no corrections): -3.34 eV per atom
- Crystal system: tetragonal

---

A relaxed LiLaHoTl crystal. Source: Alexandria, functional PBE.

The structure in POSCAR format:
```
LiLaHoTl
1.0
-4.7393 -1.7683 -1.9619
-3.0659 -3.3723 2.9437
-4.6559 1.7559 2.1624
La Tl Li Ho
1 1 1 1
direct
0.2500 0.2500 0.2500 La
0.0000 0.0000 0.0000 Tl
0.5000 0.5000 0.5000 Li
0.7500 0.7500 0.7500 Ho
```

Values from the calculation:
- Total DFT energy (no corrections): -3.64 eV per atom
- Crystal system: cubic

---

A relaxed Li2LaHoTl4 crystal. Source: Alexandria, functional PBE.

The structure in POSCAR format:
```
Li2LaHoTl4
1.0
5.2450 0.0000 0.0000
2.6225 4.5423 0.0000
2.6225 1.5141 8.6848
Ho Li Tl La
1 2 4 1
direct
0.5000 0.5000 0.5000 Ho
0.2478 0.2478 0.2566 Li
0.7522 0.7522 0.7434 Li
0.6205 0.6205 0.1385 Tl
0.8726 0.8726 0.3821 Tl
0.1274 0.1274 0.6179 Tl
0.3795 0.3795 0.8615 Tl
0.0000 0.0000 0.0000 La
```

Values from the calculation:
- Total DFT energy (no corrections): -3.18 eV per atom
- Crystal system: trigonal

---

A relaxed Li2LaHo2Tl2 crystal. Source: Alexandria, functional PBE.

The structure in POSCAR format:
```
Li2LaHo2Tl2
1.0
-3.6479 1.2515 3.0241
-0.9006 -2.6885 3.9975
4.1943 4.6775 7.0950
Ho Li Tl La
2 2 2 1
direct
0.1294 0.1294 0.6118 Ho
0.8706 0.8706 0.3882 Ho
0.4104 0.4104 0.7688 Li
0.5896 0.5896 0.2312 Li
0.2565 0.2565 0.2304 Tl
0.7435 0.7435 0.7696 Tl
0.0000 0.0000 0.0000 La
```

Values from the calculation:
- Total DFT energy (no corrections): -3.43 eV per atom
- Crystal system: trigonal

---

A relaxed LiLa2HoTl4 crystal. Source: Alexandria, functional PBE.

The structure in POSCAR format:
```
LiLa2HoTl4
1.0
-1.0383 5.2319 -0.7595
-4.5288 1.5131 -2.4957
-6.1607 2.5551 6.9130
La Ho Tl Li
2 1 4 1
direct
0.7554 0.7554 0.7339 La
0.2446 0.2446 0.2661 La
0.0000 0.0000 0.0000 Ho
0.8743 0.8743 0.3770 Tl
0.1257 0.1257 0.6230 Tl
0.6249 0.6249 0.1254 Tl
0.3751 0.3751 0.8746 Tl
0.5000 0.5000 0.5000 Li
```

Values from the calculation:
- Total DFT energy (no corrections): -3.59 eV per atom
- Crystal system: trigonal

---

A relaxed LiLaHo2Tl4 crystal. Source: Alexandria, functional PBE.

The structure in POSCAR format:
```
LiLaHo2Tl4
1.0
-3.1730 -2.4270 -3.4559
1.0562 -4.9425 -1.5355
-5.7156 -5.6537 5.1815
Ho Tl Li La
2 4 1 1
direct
0.7556 0.7556 0.7332 Ho
0.2444 0.2444 0.2668 Ho
0.1288 0.1288 0.6135 Tl
0.6191 0.6191 0.1427 Tl
0.8712 0.8712 0.3865 Tl
0.3809 0.3809 0.8573 Tl
0.5000 0.5000 0.5000 Li
0.0000 0.0000 0.0000 La
```

Values from the calculation:
- Total DFT energy (no corrections): -3.51 eV per atom
- Crystal system: trigonal